Entry from the Alexandria database: a geometry-optimized Zr2WBr structure (PBE).

Structure (extended XYZ):
```
4
Lattice="3.1943 0.0000 0.0000 0.0000 4.7182 0.0000 0.0000 0.0000 5.5870" Properties=species:S:1:pos:R:3 pbc="T T T"
Zr 0.0000 0.0000 4.8914
Zr 1.5972 2.3591 2.0901
Br 0.0000 0.0000 2.0993
W 1.5972 2.3591 4.8867
```

Calculated values
**SG**: Pmm2, No. 25
**Energy**: -30.71 eV/cell
**Spin magnetization**: 0.0 μB per formula unit
**ΔE to the lowest computed polymorph**: 528 meV/atom
**Raw formation energy**: 254 meV/atom